--- a ---
NbNiRu3 | PBE | optimized geometry

a = 4.384 Å, b = 4.384 Å, c = 4.384 Å
α = 90.00°, β = 90.00°, γ = 90.00°
Fractional positions:
Ni 0.000 0.000 0.000
Ru 0.500 0.000 0.000
Nb 0.500 0.500 0.500
Ru 0.000 0.500 0.000
Ru 0.000 0.000 0.500

## Properties
Space group   No. 221
Magnetization   2.82 μB per cell
Fermi-level density of states   9.342 states/eV/f.u.

--- b ---
NbNiRu3 | PBE | optimized geometry

a = 4.677 Å, b = 4.677 Å, c = 4.677 Å
α = 90.00°, β = 90.00°, γ = 90.00°
Fractional positions:
Ru 0.000 0.000 0.500
Ni 0.500 0.500 0.500
Nb 0.000 0.000 0.000
Ru 0.500 0.000 0.000
Ru 0.000 0.500 0.000

## Properties
Space group   No. 221
Magnetization   3.74 μB per cell
Fermi-level density of states   5.446 states/eV/f.u.

Stability verdict: a, ahead by 0.601 eV/atom

--- a ---
NbNi3S | PBE | optimized geometry

a = 4.137 Å, b = 4.137 Å, c = 4.137 Å
α = 90.00°, β = 90.00°, γ = 90.00°
Fractional positions:
Nb 0.500 0.500 0.500
Ni 0.000 0.000 0.500
S 0.000 0.000 0.000
Ni 0.500 0.000 0.000
Ni 0.000 0.500 0.000

## Properties
Space group   No. 221
Magnetization   2.15 μB per cell
Fermi-level density of states   4.626 states/eV/f.u.

--- b ---
NbNi3S | PBE | optimized geometry

a = 4.553 Å, b = 4.553 Å, c = 4.553 Å
α = 90.00°, β = 90.00°, γ = 90.00°
Fractional positions:
S 0.500 0.500 0.500
Ni 0.000 0.500 0.000
Nb 0.000 0.000 0.000
Ni 0.000 0.000 0.500
Ni 0.500 0.000 0.000

## Properties
Space group   No. 221
Magnetization   0.00 μB per cell
Fermi-level density of states   5.112 states/eV/f.u.

Stability verdict: a, ahead by 1.295 eV/atom

--- a ---
NbNiSb3 | PBE | optimized geometry

a = 5.306 Å, b = 5.306 Å, c = 5.306 Å
α = 90.00°, β = 90.00°, γ = 90.00°
Fractional positions:
Ni 0.500 0.500 0.500
Sb 0.500 0.000 0.000
Sb 0.000 0.000 0.500
Nb 0.000 0.000 0.000
Sb 0.000 0.500 0.000

## Properties
Space group   No. 221
Magnetization   0.44 μB per cell
Fermi-level density of states   7.229 states/eV/f.u.

--- b ---
NbNiSb3 | PBE | optimized geometry

a = 4.934 Å, b = 4.934 Å, c = 4.934 Å
α = 90.00°, β = 90.00°, γ = 90.00°
Fractional positions:
Nb 0.500 0.500 0.500
Sb 0.000 0.500 0.000
Sb 0.000 0.000 0.500
Sb 0.500 0.000 0.000
Ni 0.000 0.000 0.000

## Properties
Space group   No. 221
Magnetization   2.17 μB per cell
Fermi-level density of states   3.886 states/eV/f.u.

Stability verdict: b, ahead by 0.205 eV/atom

--- a ---
Sc3NbNi | PBE | optimized geometry

a = 4.960 Å, b = 4.960 Å, c = 4.960 Å
α = 90.00°, β = 90.00°, γ = 90.00°
Fractional positions:
Sc 0.000 0.000 0.500
Sc 0.000 0.500 0.000
Nb 0.000 0.000 0.000
Ni 0.500 0.500 0.500
Sc 0.500 0.000 0.000

## Properties
Space group   No. 221
Magnetization   0.00 μB per cell
Fermi-level density of states   4.396 states/eV/f.u.

--- b ---
Sc3NbNi | PBE | optimized geometry

a = 4.794 Å, b = 4.794 Å, c = 4.794 Å
α = 90.00°, β = 90.00°, γ = 90.00°
Fractional positions:
Sc 0.000 0.500 0.000
Sc 0.500 0.000 0.000
Nb 0.500 0.500 0.500
Sc 0.000 0.000 0.500
Ni 0.000 0.000 0.000

## Properties
Space group   No. 221
Magnetization   0.77 μB per cell
Fermi-level density of states   5.166 states/eV/f.u.

Stability verdict: b, ahead by 0.612 eV/atom

--- a ---
Sc2NbNi | PBE | optimized geometry

a = 3.101 Å, b = 3.101 Å, c = 7.567 Å
α = 90.00°, β = 90.00°, γ = 90.00°
Fractional positions:
Nb 0.500 0.500 0.500
Sc 0.000 0.000 0.214
Sc 0.000 0.000 0.786
Ni 0.500 0.500 0.000

## Properties
Space group   No. 123
Magnetization   0.00 μB per cell
Fermi-level density of states   3.104 states/eV/f.u.

--- b ---
Sc2NbNi | PBE | optimized geometry

a = 7.333 Å, b = 7.333 Å, c = 5.908 Å
α = 51.64°, β = 51.64°, γ = 90.00°
Fractional positions:
Sc 0.578 0.125 0.250
Sc 0.375 0.422 0.750
Ni 0.250 0.750 0.500
Nb 0.000 0.000 0.000
Nb 0.750 0.250 0.500
Ni 0.500 0.500 0.000
Sc 0.875 0.828 0.750
Sc 0.172 0.625 0.250

## Properties
Space group   No. 122
Magnetization   0.00 μB per cell
Fermi-level density of states   5.109 states/eV/f.u.

--- c ---
Sc2NbNi | PBE | optimized geometry

a = 4.711 Å, b = 4.711 Å, c = 4.711 Å
α = 60.00°, β = 60.00°, γ = 60.00°
Fractional positions:
Sc 0.250 0.250 0.250
Ni 0.000 0.000 0.000
Sc 0.750 0.750 0.750
Nb 0.500 0.500 0.500

## Properties
Space group   No. 225
Magnetization   2.91 μB per cell
Fermi-level density of states   5.300 states/eV/f.u.

Stability verdict: a, ahead by 0.261 eV/atom

--- a ---
ScNb2Ni | PBE | optimized geometry

a = 7.525 Å, b = 7.525 Å, c = 5.921 Å
α = 50.55°, β = 50.55°, γ = 90.00°
Fractional positions:
Nb 0.670 0.125 0.250
Nb 0.375 0.330 0.750
Sc 0.500 0.500 0.000
Nb 0.080 0.625 0.250
Nb 0.875 0.920 0.750
Ni 0.000 0.000 0.000
Sc 0.250 0.750 0.500
Ni 0.750 0.250 0.500

## Properties
Space group   No. 122
Magnetization   0.00 μB per cell
Fermi-level density of states   5.062 states/eV/f.u.

--- b ---
ScNb2Ni | PBE | optimized geometry

a = 4.564 Å, b = 4.564 Å, c = 4.564 Å
α = 60.00°, β = 60.00°, γ = 60.00°
Fractional positions:
Sc 0.000 0.000 0.000
Nb 0.750 0.750 0.750
Nb 0.250 0.250 0.250
Ni 0.500 0.500 0.500

## Properties
Space group   No. 225
Magnetization   0.00 μB per cell
Fermi-level density of states   7.851 states/eV/f.u.

Stability verdict: b, ahead by 0.013 eV/atom

--- a ---
Sc2NbNi2 | PBE | optimized geometry

a = 4.135 Å, b = 4.135 Å, c = 5.894 Å
α = 69.46°, β = 69.46°, γ = 90.00°
Fractional positions:
Ni 0.395 0.395 0.211
Sc 0.250 0.750 0.500
Sc 0.750 0.250 0.500
Ni 0.605 0.605 0.789
Nb 0.000 0.000 0.000

## Properties
Space group   No. 139
Magnetization   0.00 μB per cell
Fermi-level density of states   5.107 states/eV/f.u.

--- b ---
Sc2NbNi2 | PBE | optimized geometry

a = 3.243 Å, b = 3.243 Å, c = 8.827 Å
α = 79.41°, β = 79.41°, γ = 90.00°
Fractional positions:
Nb 0.000 0.000 0.000
Ni 0.750 0.250 0.500
Sc 0.623 0.623 0.753
Sc 0.377 0.377 0.247
Ni 0.250 0.750 0.500

## Properties
Space group   No. 139
Magnetization   0.00 μB per cell
Fermi-level density of states   4.806 states/eV/f.u.

--- c ---
Sc2NbNi2 | PBE | optimized geometry

a = 6.989 Å, b = 6.989 Å, c = 3.452 Å
α = 90.00°, β = 90.00°, γ = 90.00°
Fractional positions:
Ni 0.127 0.373 0.000
Sc 0.832 0.332 0.500
Sc 0.668 0.832 0.500
Ni 0.627 0.127 0.000
Sc 0.332 0.168 0.500
Sc 0.168 0.668 0.500
Ni 0.373 0.873 0.000
Ni 0.873 0.627 0.000
Nb 0.000 0.000 0.000
Nb 0.500 0.500 0.000

## Properties
Space group   No. 127
Magnetization   0.00 μB per cell
Fermi-level density of states   5.899 states/eV/f.u.

Stability verdict: c, ahead by 0.280 eV/atom

--- a ---
Nb3NiSe6 | PBE | optimized geometry

a = 6.067 Å, b = 6.067 Å, c = 12.528 Å
α = 90.00°, β = 90.00°, γ = 120.00°
Fractional positions:
Se 0.666 0.671 0.866
Se 0.666 0.995 0.634
Nb 0.000 0.000 0.500
Se 0.671 0.005 0.366
Se 0.334 0.329 0.366
Nb 0.333 0.667 0.001
Se 0.334 0.005 0.134
Nb 0.667 0.333 0.501
Se 0.329 0.334 0.634
Se 0.329 0.995 0.866
Se 0.995 0.666 0.366
Se 0.005 0.334 0.866
Nb 0.000 0.000 0.000
Se 0.005 0.671 0.634
Se 0.671 0.666 0.134
Ni 0.333 0.667 0.250
Nb 0.333 0.667 0.499
Ni 0.667 0.333 0.750
Se 0.995 0.329 0.134
Nb 0.667 0.333 0.999

## Properties
Space group   No. 182
Magnetization   3.21 μB per cell
Fermi-level density of states   7.483 states/eV/f.u.

--- b ---
Nb3NiSe6 | PBE | optimized geometry

a = 6.212 Å, b = 8.173 Å, c = 8.173 Å
α = 101.72°, β = 90.00°, γ = 90.00°
Fractional positions:
Nb 0.865 0.602 0.398
Se 0.731 0.524 0.093
Se 0.231 0.093 0.524
Nb 0.959 0.038 0.260
Se 0.231 0.476 0.907
Ni 0.100 0.222 0.778
Se 0.134 0.040 0.960
Se 0.187 0.767 0.233
Nb 0.459 0.260 0.038
Nb 0.459 0.962 0.740
Se 0.661 0.640 0.698
Se 0.731 0.907 0.476
Nb 0.959 0.740 0.962
Se 0.661 0.302 0.360
Se 0.687 0.233 0.767
Nb 0.365 0.398 0.602
Se 0.634 0.960 0.040
Ni 0.600 0.778 0.222
Se 0.161 0.360 0.302
Se 0.161 0.698 0.640

## Properties
Space group   No. 36
Magnetization   0.00 μB per cell
Fermi-level density of states   5.100 states/eV/f.u.

Stability verdict: a, ahead by 0.236 eV/atom

--- a ---
Nb3NiSn | PBE | optimized geometry

a = 4.649 Å, b = 4.649 Å, c = 4.649 Å
α = 90.00°, β = 90.00°, γ = 90.00°
Fractional positions:
Ni 0.000 0.000 0.000
Nb 0.000 0.000 0.500
Nb 0.500 0.000 0.000
Sn 0.500 0.500 0.500
Nb 0.000 0.500 0.000

## Properties
Space group   No. 221
Magnetization   0.00 μB per cell
Fermi-level density of states   5.412 states/eV/f.u.

--- b ---
Nb3NiSn | PBE | optimized geometry

a = 5.014 Å, b = 5.014 Å, c = 5.014 Å
α = 90.00°, β = 90.00°, γ = 90.00°
Fractional positions:
Nb 0.000 0.000 0.500
Nb 0.000 0.500 0.000
Ni 0.500 0.500 0.500
Sn 0.000 0.000 0.000
Nb 0.500 0.000 0.000

## Properties
Space group   No. 221
Magnetization   1.05 μB per cell
Fermi-level density of states   4.720 states/eV/f.u.

Stability verdict: a, ahead by 1.483 eV/atom

--- a ---
Nb2Ni3Sn | PBE | optimized geometry

a = 3.703 Å, b = 3.963 Å, c = 12.377 Å
α = 90.00°, β = 90.00°, γ = 90.00°
Fractional positions:
Nb 0.000 0.500 0.168
Nb 0.000 0.500 0.832
Ni 0.499 0.000 0.500
Nb 0.000 0.000 0.668
Ni 0.500 0.000 0.821
Ni 0.500 0.000 0.179
Ni 0.500 0.500 0.321
Sn 0.001 0.000 0.000
Ni 0.501 0.500 0.000
Nb 0.000 0.000 0.332
Ni 0.500 0.500 0.679
Sn 0.999 0.500 0.500

## Properties
Space group   No. 59
Magnetization   0.00 μB per cell
Fermi-level density of states   8.463 states/eV/f.u.

--- b ---
Nb2Ni3Sn | PBE | optimized geometry

a = 5.053 Å, b = 5.053 Å, c = 8.191 Å
α = 90.00°, β = 90.00°, γ = 120.00°
Fractional positions:
Ni 0.829 0.171 0.747
Sn 0.333 0.667 0.922
Ni 0.658 0.829 0.253
Nb 0.000 0.000 0.500
Ni 0.171 0.829 0.253
Nb 0.333 0.667 0.565
Ni 0.342 0.171 0.747
Nb 0.667 0.333 0.435
Ni 0.171 0.342 0.253
Nb 0.000 0.000 0.000
Ni 0.829 0.658 0.747
Sn 0.667 0.333 0.078

## Properties
Space group   No. 164
Magnetization   0.00 μB per cell
Fermi-level density of states   6.525 states/eV/f.u.

Stability verdict: b, ahead by 0.006 eV/atom

--- a ---
Sr2NbNi | PBE | optimized geometry

a = 11.261 Å, b = 11.261 Å, c = 8.298 Å
α = 47.27°, β = 47.27°, γ = 90.00°
Fractional positions:
Sr 0.292 0.625 0.250
Sr 0.458 0.125 0.250
Sr 0.375 0.542 0.750
Ni 0.500 0.500 0.000
Nb 0.000 0.000 0.000
Sr 0.875 0.708 0.750
Ni 0.250 0.750 0.500
Nb 0.750 0.250 0.500

## Properties
Space group   No. 122
Magnetization   4.40 μB per cell
Fermi-level density of states   4.094 states/eV/f.u.

--- b ---
Sr2NbNi | PBE | optimized geometry

a = 5.443 Å, b = 5.443 Å, c = 5.443 Å
α = 60.00°, β = 60.00°, γ = 60.00°
Fractional positions:
Sr 0.750 0.750 0.750
Sr 0.250 0.250 0.250
Ni 0.000 0.000 0.000
Nb 0.500 0.500 0.500

## Properties
Space group   No. 225
Magnetization   4.77 μB per cell
Fermi-level density of states   3.961 states/eV/f.u.

Stability verdict: a, ahead by 0.225 eV/atom